(1)
Material: CuNi3As
Method: DFT, PBE
State: optimized geometry

abc: 4.282 4.282 4.282
angles: 90.00 90.00 90.00
Site moments in Bohr magnetons follow the coordinates.
Atoms (fractional coordinates):
1 Ni 0.000 0.000 0.500  0.27
2 Ni 0.500 0.000 0.000  0.23
3 Ni 0.000 0.500 0.000  0.34
4 Cu 0.000 0.000 0.000  0.10
5 As 0.500 0.500 0.500  -0.02

## Properties
ΔH_f (0 K)	4.83	eV per formula unit
magnetization	0.89	Bohr magnetons per cell
distance to the lowest polymorph of the same formula	2.07	eV per formula unit
raw total energy	-4.252	eV per atom



(2)
Material: LaIn2Pd2
Method: DFT, PBE
State: optimized geometry

abc: 4.894 4.894 6.049
angles: 66.14 66.14 90.00
Atoms (fractional coordinates):
1 La 0.000 0.000 0.000
2 Pd 0.250 0.750 0.500
3 Pd 0.750 0.250 0.500
4 In 0.641 0.641 0.719
5 In 0.359 0.359 0.281

## Properties
ΔH_f (0 K)	-2.94	eV per formula unit
magnetization	0.00	Bohr magnetons per cell
raw total energy	-4.747	eV per atom



(3)
Material: Ba2HgTe3
Method: DFT, PBE
State: optimized geometry

abc: 4.816 10.023 19.364
angles: 90.00 90.00 90.00
Atoms (fractional coordinates):
1 Te 0.250 0.610 0.930
2 Te 0.250 0.808 0.718
3 Te 0.250 0.308 0.782
4 Te 0.250 0.988 0.098
5 Te 0.750 0.012 0.902
6 Te 0.750 0.692 0.218
7 Te 0.250 0.488 0.402
8 Te 0.750 0.890 0.430
9 Te 0.750 0.512 0.598
10 Te 0.750 0.390 0.070
11 Te 0.750 0.192 0.282
12 Te 0.250 0.110 0.570
13 Ba 0.750 0.575 0.786
14 Ba 0.250 0.248 0.965
15 Ba 0.250 0.748 0.535
16 Ba 0.750 0.752 0.035
17 Ba 0.750 0.075 0.714
18 Ba 0.250 0.425 0.214
19 Ba 0.250 0.925 0.286
20 Ba 0.750 0.252 0.465
21 Hg 0.250 0.866 0.863
22 Hg 0.250 0.366 0.637
23 Hg 0.750 0.134 0.137
24 Hg 0.750 0.634 0.363

## Properties
formation energy (no corrections)	-1225	meV/atom
magnetization	0.00	Bohr magnetons per cell
raw total energy	-3.487	eV per atom



(4)
Material: Rb2ZnHgN
Method: DFT, PBE
State: optimized geometry

abc: 6.506 6.506 3.673
angles: 90.00 90.00 90.00
Atoms (fractional coordinates):
1 Hg 0.500 0.500 0.500
2 Rb 0.500 0.000 0.000
3 Rb 0.000 0.500 0.000
4 N 0.000 0.000 0.000
5 Zn 0.000 0.000 0.500

## Properties
formation energy (no corrections)	58	meV/atom
magnetization	0.00	Bohr magnetons per cell
raw total energy	-2.309	eV per atom



(5)
Material: Y2CuOs
Method: DFT, PBE
State: optimized geometry

abc: 4.620 4.620 9.477
angles: 75.89 75.89 90.00
Atoms (fractional coordinates):
1 Y 0.375 0.366 0.750
2 Y 0.875 0.884 0.750
3 Y 0.116 0.625 0.250
4 Y 0.634 0.125 0.250
5 Cu 0.500 0.500 0.000
6 Cu 0.250 0.750 0.500
7 Os 0.000 0.000 0.000
8 Os 0.750 0.250 0.500

## Properties
ΔH_f (0 K)	2.98	eV per formula unit
magnetization	0.00	Bohr magnetons per cell
raw total energy	-6.318	eV per atom



(6)
Material: BeVAu
Method: DFT, PBE
State: optimized geometry

abc: 4.528 2.923 7.409
angles: 102.13 120.16 71.49
Atoms (fractional coordinates):
1 Be 0.244 0.765 0.921
2 Be 0.137 0.529 0.326
3 Au 0.810 0.494 0.925
4 Au 0.608 0.243 0.216
5 V 0.209 0.107 0.629
6 V 0.696 0.906 0.560

## Properties
ΔH_f (0 K)	-0.01	eV per formula unit
magnetization	0.00	Bohr magnetons per cell
distance to the lowest polymorph of the same formula	0.25	eV per formula unit
raw total energy	-5.378	eV per atom



(7)
Material: TlTe2Au
Method: DFT, PBE
State: optimized geometry

abc: 4.164 3.244 8.661
angles: 90.02 90.00 90.00
Atoms (fractional coordinates):
1 Te 0.000 0.751 0.533
2 Te 0.000 0.749 0.967
3 Tl 0.500 0.250 0.250
4 Au 0.500 0.750 0.750

## Properties
formation energy (no corrections)	-107	meV/atom
magnetization	0.00	Bohr magnetons per cell
raw total energy	-3.089	eV per atom



(8)
Material: Nb5Ge2As
Method: DFT, PBE
State: optimized geometry

abc: 6.711 6.711 7.687
angles: 115.88 115.88 90.00
Atoms (fractional coordinates):
1 As 0.250 0.250 0.500
2 As 0.750 0.750 0.500
3 Nb 0.500 0.500 0.000
4 Nb 0.509 0.685 0.695
5 Nb 0.315 0.815 0.305
6 Nb 0.991 0.491 0.305
7 Nb 0.491 0.315 0.305
8 Nb 0.815 0.991 0.305
9 Nb 0.185 0.009 0.695
10 Nb 0.685 0.185 0.695
11 Nb 0.000 0.000 0.000
12 Nb 0.009 0.509 0.695
13 Ge 0.365 0.865 0.000
14 Ge 0.135 0.365 0.000
15 Ge 0.865 0.635 0.000
16 Ge 0.635 0.135 0.000

## Properties
ΔH_f (0 K)	-3.98	eV per formula unit
magnetization	0.00	Bohr magnetons per cell
raw total energy	-8.526	eV per atom



(9)
Material: Dy2NiPd
Method: DFT, PBE
State: optimized geometry

abc: 3.553 3.553 8.979
angles: 78.59 78.59 60.00
Atoms (fractional coordinates):
1 Ni 0.500 0.500 0.500
2 Dy 0.900 0.900 0.301
3 Dy 0.100 0.100 0.699
4 Pd 0.000 0.000 0.000

## Properties
ΔH_f (0 K)	-0.14	eV per formula unit
magnetization	0.00	Bohr magnetons per cell
distance to the lowest polymorph of the same formula	2.55	eV per formula unit
raw total energy	-5.079	eV per atom



(10)
Material: Pa5ZnGa2
Method: DFT, PBE
State: optimized geometry

abc: 4.432 6.313 12.678
angles: 90.00 90.00 90.00
Atoms (fractional coordinates):
1 Pa 0.000 0.501 0.238
2 Pa 0.000 0.500 0.500
3 Pa 0.000 0.001 0.262
4 Pa 0.500 0.753 0.624
5 Pa 0.000 0.000 0.000
6 Pa 0.500 0.747 0.124
7 Pa 0.500 0.247 0.376
8 Pa 0.500 0.253 0.876
9 Pa 0.000 0.499 0.762
10 Pa 0.000 0.999 0.738
11 Ga 0.500 0.739 0.374
12 Ga 0.500 0.761 0.874
13 Ga 0.500 0.239 0.126
14 Ga 0.500 0.261 0.626
15 Zn 0.000 0.500 0.000
16 Zn 0.000 0.000 0.500

## Properties
ΔH_f (0 K)	-0.95	eV per formula unit
magnetization	0.00	Bohr magnetons per cell
raw total energy	-6.970	eV per atom



(11)
Material: ScBe3Si3
Method: DFT, PBE
State: optimized geometry

abc: 6.092 6.092 6.092
angles: 90.00 90.00 90.00
Atoms (fractional coordinates):
1 Be 0.000 0.750 0.500
2 Be 0.500 0.000 0.750
3 Be 0.000 0.250 0.500
4 Be 0.750 0.500 0.000
5 Be 0.500 0.000 0.250
6 Be 0.250 0.500 0.000
7 Si 0.750 0.000 0.500
8 Si 0.250 0.000 0.500
9 Si 0.500 0.750 0.000
10 Si 0.500 0.250 0.000
11 Si 0.000 0.500 0.250
12 Si 0.000 0.500 0.750
13 Sc 0.500 0.500 0.500
14 Sc 0.000 0.000 0.000

## Properties
formation energy (no corrections)	433	meV/atom
magnetization	0.00	Bohr magnetons per cell
raw total energy	-4.393	eV per atom



(12)
Material: HoInNi5
Method: DFT, PBE
State: optimized geometry

abc: 4.831 8.066 10.304
angles: 90.00 90.00 90.00
Atoms (fractional coordinates):
1 Ho 0.750 0.248 0.439
2 Ho 0.250 0.752 0.561
3 Ho 0.750 0.748 0.061
4 Ho 0.250 0.252 0.939
5 Ni 0.499 0.067 0.689
6 Ni 0.750 0.917 0.517
7 Ni 0.250 0.953 0.105
8 Ni 0.250 0.189 0.259
9 Ni 0.250 0.453 0.395
10 Ni 0.999 0.933 0.311
11 Ni 0.001 0.567 0.811
12 Ni 0.750 0.417 0.983
13 Ni 0.999 0.433 0.189
14 Ni 0.250 0.083 0.483
15 Ni 0.250 0.689 0.241
16 Ni 0.501 0.933 0.311
17 Ni 0.499 0.567 0.811
18 Ni 0.750 0.547 0.605
19 Ni 0.750 0.811 0.741
20 Ni 0.250 0.583 0.017
21 Ni 0.501 0.433 0.189
22 Ni 0.750 0.311 0.759
23 Ni 0.001 0.067 0.689
24 Ni 0.750 0.047 0.895
25 In 0.250 0.863 0.863
26 In 0.750 0.637 0.363
27 In 0.750 0.137 0.137
28 In 0.250 0.363 0.637

## Properties
ΔH_f (0 K)	-2.32	eV per formula unit
magnetization	0.01	Bohr magnetons per cell
raw total energy	-5.506	eV per atom



(13)
Material: TbYCoRh
Method: DFT, PBE
State: optimized geometry

abc: 4.813 4.813 4.813
angles: 60.00 60.00 60.00
Site moments in Bohr magnetons follow the coordinates.
Atoms (fractional coordinates):
1 Tb 0.250 0.250 0.250  -0.13
2 Y 0.750 0.750 0.750  -0.09
3 Rh 0.000 0.000 0.000  0.16
4 Co 0.500 0.500 0.500  0.79

## Properties
ΔH_f (0 K)	-1.87	eV per formula unit
magnetization	0.60	Bohr magnetons per cell
raw total energy	-6.857	eV per atom



(14)
Material: CrNi2Rh
Method: DFT, PBE
State: optimized geometry

abc: 4.083 4.083 4.083
angles: 60.00 60.00 60.00
Atoms (fractional coordinates):
1 Ni 0.250 0.250 0.250
2 Ni 0.750 0.750 0.750
3 Cr 0.000 0.000 0.000
4 Rh 0.500 0.500 0.500

## Properties
ΔH_f (0 K)	0.69	eV per formula unit
magnetization	0.00	Bohr magnetons per cell
raw total energy	-6.963	eV per atom



(15)
Material: Nd6TlSb3
Method: DFT, PBE
State: optimized geometry

abc: 7.750 9.627 9.627
angles: 104.52 90.00 90.00
Site moments in Bohr magnetons follow the coordinates.
Atoms (fractional coordinates):
1 Nd 0.658 0.623 0.719  0.13
2 Nd 0.252 0.001 0.999  0.00
3 Nd 0.242 0.084 0.537  0.08
4 Nd 0.158 0.719 0.623  0.13
5 Nd 0.242 0.463 0.916  0.08
6 Nd 0.742 0.916 0.463  0.08
7 Nd 0.112 0.757 0.243  0.15
8 Nd 0.658 0.281 0.377  0.13
9 Nd 0.158 0.377 0.281  0.13
10 Nd 0.612 0.243 0.757  0.15
11 Nd 0.742 0.537 0.084  0.08
12 Nd 0.752 0.000 0.000  0.00
13 Sb 0.848 0.584 0.416  0.00
14 Sb 0.485 0.279 0.084  0.00
15 Sb 0.485 0.916 0.721  0.00
16 Sb 0.985 0.721 0.916  0.00
17 Sb 0.348 0.416 0.584  0.00
18 Sb 0.985 0.084 0.279  0.00
19 Tl 0.504 0.824 0.176  -0.01
20 Tl 0.004 0.176 0.824  -0.01

## Properties
formation energy (no corrections)	-654	meV/atom
magnetization	2.82	Bohr magnetons per cell
raw total energy	-4.988	eV per atom



(16)
Material: LaTb12Nd6
Method: DFT, PBE
State: optimized geometry

abc: 8.640 8.640 8.640
angles: 91.28 91.28 91.28
Atoms (fractional coordinates):
1 Tb 0.140 0.383 0.070
2 Tb 0.383 0.070 0.140
3 Tb 0.208 0.472 0.532
4 Tb 0.930 0.860 0.617
5 Tb 0.528 0.468 0.792
6 Tb 0.472 0.532 0.208
7 Tb 0.070 0.140 0.383
8 Tb 0.468 0.792 0.528
9 Tb 0.792 0.528 0.468
10 Tb 0.860 0.617 0.930
11 Tb 0.617 0.930 0.860
12 Tb 0.532 0.208 0.472
13 Nd 0.724 0.859 0.252
14 Nd 0.276 0.141 0.748
15 Nd 0.748 0.276 0.141
16 Nd 0.252 0.724 0.859
17 Nd 0.859 0.252 0.724
18 Nd 0.141 0.748 0.276
19 La 0.000 0.000 0.000

## Properties
ΔH_f (0 K)	3.30	eV per formula unit
magnetization	0.00	Bohr magnetons per cell
distance to the lowest polymorph of the same formula	0.00	eV per formula unit
raw total energy	-4.516	eV per atom



(17)
Material: TaBSb2I
Method: DFT, PBE
State: optimized geometry

abc: 4.779 4.779 4.810
angles: 90.00 90.00 90.00
Site moments in Bohr magnetons follow the coordinates.
Atoms (fractional coordinates):
1 Sb 0.500 0.000 0.000  -0.03
2 Sb 0.000 0.500 0.000  -0.03
3 Ta 0.500 0.500 0.500  0.79
4 B 0.000 0.000 0.000  0.00
5 I 0.000 0.000 0.500  -0.02

## Properties
formation energy (no corrections)	1261	meV/atom
magnetization	1.03	Bohr magnetons per cell
distance to the lowest polymorph of the same formula	0.00	eV per formula unit
raw total energy	-4.404	eV per atom



(18)
Material: ZrScCu
Method: DFT, PBE
State: optimized geometry

abc: 6.138 6.138 3.203
angles: 74.88 74.88 30.25
Atoms (fractional coordinates):
1 Sc 0.348 0.348 0.652
2 Cu 0.999 0.999 0.001
3 Zr 0.654 0.654 0.346

## Properties
ΔH_f (0 K)	-0.37	eV per formula unit
magnetization	0.00	Bohr magnetons per cell
distance to the lowest polymorph of the same formula	0.09	eV per formula unit
raw total energy	-6.449	eV per atom



(19)
Material: EuErSnPt
Method: DFT, PBE
State: optimized geometry

abc: 5.197 5.197 5.197
angles: 60.00 60.00 60.00
Site moments in Bohr magnetons follow the coordinates.
Atoms (fractional coordinates):
1 Pt 0.750 0.750 0.750  -0.04
2 Sn 0.250 0.250 0.250  -0.03
3 Er 0.000 0.000 0.000  -0.01
4 Eu 0.500 0.500 0.500  6.74

## Properties
ΔH_f (0 K)	-3.00	eV per formula unit
magnetization	6.82	Bohr magnetons per cell
raw total energy	-6.970	eV per atom



(20)
Material: Pm7Sm3Er2
Method: DFT, PBE
State: optimized geometry

abc: 3.608 5.917 19.088
angles: 93.28 90.00 90.00
Atoms (fractional coordinates):
1 Pm 0.500 0.743 0.465
2 Pm 0.500 0.815 0.818
3 Pm 0.000 0.000 0.000
4 Pm 0.000 0.683 0.145
5 Pm 0.500 0.257 0.535
6 Pm 0.000 0.317 0.855
7 Pm 0.500 0.185 0.182
8 Sm 0.500 0.500 0.000
9 Sm 0.000 0.782 0.633
10 Sm 0.000 0.218 0.367
11 Er 0.500 0.291 0.704
12 Er 0.500 0.709 0.296

## Properties
ΔH_f (0 K)	1.07	eV per formula unit
magnetization	0.00	Bohr magnetons per cell
distance to the lowest polymorph of the same formula	0.00	eV per formula unit
raw total energy	-4.622	eV per atom